1.
# ZnAg

Crystalline ZnAg at its relaxed geometry (GGA-PBE, Alexandria via LeMat-Bulk).

abc: 4.569 4.569 5.149
angles: 90.00 90.00 120.00
Fractional positions:
Zn (0.333, 0.667, 0.250)
Zn (0.667, 0.333, 0.750)
Ag (0.333, 0.667, 0.750)
Ag (0.667, 0.333, 0.250)

Output
Crystal system ... hexagonal
ΔH_f (0 K) ... 32.46 kJ/mol of atoms

---

2.
# Zn3Ag2

Crystalline Zn3Ag2 at its relaxed geometry (GGA-PBE, Alexandria via LeMat-Bulk).

abc: 6.976 2.827 8.515
angles: 90.00 105.55 90.00
Fractional positions:
Zn (0.005, 0.250, 0.244)
Zn (0.362, 0.250, 0.829)
Zn (0.412, 0.250, 0.344)
Zn (0.588, 0.750, 0.656)
Zn (0.638, 0.750, 0.171)
Zn (0.995, 0.750, 0.756)
Ag (0.193, 0.750, 0.524)
Ag (0.216, 0.750, 0.060)
Ag (0.784, 0.250, 0.940)
Ag (0.807, 0.250, 0.476)

Output
Crystal system ... monoclinic
ΔH_f (0 K) ... -0.19 kJ/mol of atoms
Distance to the lowest polymorph of the same formula ... 11 kJ/mol of formula units

---

3.
# Zn7Ag3

Crystalline Zn7Ag3 at its relaxed geometry (GGA-PBE, Alexandria via LeMat-Bulk).

abc: 7.343 7.343 5.711
angles: 99.78 99.78 31.23
Fractional positions:
Zn (0.000, 0.000, 0.000)
Zn (0.201, 0.201, 0.601)
Zn (0.401, 0.401, 0.197)
Zn (0.401, 0.401, 0.699)
Zn (0.599, 0.599, 0.301)
Zn (0.599, 0.599, 0.803)
Zn (0.799, 0.799, 0.399)
Ag (0.000, 0.000, 0.500)
Ag (0.197, 0.197, 0.109)
Ag (0.803, 0.803, 0.891)

Output
Crystal system ... monoclinic
ΔH_f (0 K) ... -0.45 kJ/mol of atoms
Distance to the lowest polymorph of the same formula ... 0 kJ/mol of formula units

---

4.
# ZnAg

Crystalline ZnAg at its relaxed geometry (GGA-PBE, Alexandria via LeMat-Bulk).

abc: 4.030 4.086 3.937
angles: 90.00 90.00 90.00
Fractional positions:
Zn (0.000, 0.000, 0.000)
Zn (0.500, 0.500, 0.000)
Ag (0.000, 0.500, 0.500)
Ag (0.500, 0.000, 0.500)

Output
Crystal system ... orthorhombic
ΔH_f (0 K) ... -2.70 kJ/mol of atoms

---

no.,total DFT energy (no corrections) (eV/cell)
1,-6.90
2,-19.07
3,-17.52
4,-8.36